Material: Nd3PaTe4
Method: DFT, PBE-GGA
State: optimized geometry

Computed properties:
Electronic total energy: -5.743 eV per atom
Energy relative to the elements, uncorrected: -1.197 eV/atom

a b c (Å): 6.3043 6.3043 12.6115
angles (deg): 90.00 90.00 90.00
Space group I4/mmm (No. 139)
Inequivalent atoms, fractional coordinates:
Nd 0.0000 0.0000 0.0000
Nd 0.0000 0.5000 0.2500
Pa 0.0000 0.0000 0.5000
Te 0.0000 0.0000 0.2534
Te 0.0000 0.5000 0.0000


Material: Tb12Sm7Tl
Method: DFT, PBE-GGA
State: optimized geometry

Computed properties:
Electronic total energy: -4.386 eV per atom
Formation energy: 15.67 kJ/mol of atoms

a b c (Å): 12.0307 12.0307 15.7723
angles (deg): 90.00 90.00 120.00
Space group R-3 (No. 148, hexagonal axes)
Inequivalent atoms, fractional coordinates:
Tb 0.0363 0.5793 0.2144
Tb 0.0557 0.4730 0.5847
Sm 0.0000 0.0000 0.0000
Sm 0.0588 0.8728 0.2947
Tl 0.0000 0.0000 0.5000


Material: ScMn2AgTe
Method: DFT, PBE-GGA
State: optimized geometry

Computed properties:
Electronic total energy: -5.328 eV per atom
Energy relative to the elements, uncorrected: 0.805 eV/atom

a b c (Å): 4.8758 4.8758 5.4429
angles (deg): 90.00 90.00 90.00
Space group P4/mmm (No. 123)
Inequivalent atoms, fractional coordinates:
Sc 0.0000 0.0000 0.0000
Mn 0.0000 0.5000 0.5000
Ag 0.5000 0.5000 0.5000
Te 0.5000 0.5000 0.0000


Material: NpSbRhO6
Method: DFT, PBE-GGA
State: optimized geometry

Computed properties:
Electronic total energy: -7.775 eV per atom
Energy relative to the elements, uncorrected: -1.757 eV/atom

a b c (Å): 5.2867 5.2867 10.1303
angles (deg): 90.00 90.00 120.00
Space group P-31c (No. 163)
Inequivalent atoms, fractional coordinates:
Np 0.3333 0.6667 0.2500
Sb 0.0000 0.0000 0.0000
Rh 0.3333 0.6667 0.7500
O 0.0061 0.3492 0.6352


Material: Y2Ta2Pt
Method: DFT, PBE-GGA
State: optimized geometry

Computed properties:
Relative energy among the computed polymorphs: 413.3 meV per atom
Electronic total energy: -8.048 eV per atom
Formation energy: 46.98 kJ/mol of atoms

a b c (Å): 7.2050 7.2050 4.6783
angles (deg): 90.00 90.00 90.00
Space group P4/mbm (No. 127)
Inequivalent atoms, fractional coordinates:
Y 0.1605 0.3395 0.0000
Ta 0.1302 0.6302 0.5000
Pt 0.0000 0.0000 0.0000


Material: LiCrAs
Method: DFT, PBE-GGA
State: optimized geometry

Computed properties:
Electronic total energy: -5.354 eV per atom
Formation energy: 4.02 kJ/mol of atoms

a b c (Å): 2.8564 4.2487 7.7524
angles (deg): 90.00 90.00 90.00
Space group Pmmm (No. 47)
Inequivalent atoms, fractional coordinates:
Li 0.0000 0.0000 0.0000
Li 0.0000 0.5000 0.5000
Cr 0.5000 0.0000 0.3723
As 0.5000 0.5000 0.2227


Material: Sm3Zn3Ni
Method: DFT, PBE-GGA
State: optimized geometry

Computed properties:
Electronic total energy: -3.722 eV per atom
Formation energy: -31.57 kJ/mol of atoms

a b c (Å): 3.7006 4.4866 18.9907
angles (deg): 90.00 90.00 90.00
Space group Imm2 (No. 44)
Inequivalent atoms, fractional coordinates:
Sm 0.0000 0.0000 0.0000
Sm 0.0000 0.0000 0.3720
Sm 0.0000 0.5000 0.1982
Zn 0.0000 0.0000 0.5539
Zn 0.0000 0.0000 0.8268
Zn 0.0000 0.5000 0.6295
Ni 0.0000 0.5000 0.7605


Material: La7Pr12Pb
Method: DFT, PBE-GGA
State: optimized geometry

Computed properties:
Electronic total energy: -4.664 eV per atom
Formation energy: 10.93 kJ/mol of atoms

a b c (Å): 12.6885 12.6885 15.8351
angles (deg): 90.00 90.00 120.00
Space group R-3 (No. 148, hexagonal axes)
Inequivalent atoms, fractional coordinates:
La 0.0000 0.0000 0.0000
La 0.0151 0.4299 0.6979
Pr 0.0395 0.1869 0.8065
Pr 0.0709 0.5958 0.0914
Pb 0.0000 0.0000 0.5000


Material: AsF6
Method: DFT, PBE-GGA
State: optimized geometry

Computed properties:
Electronic total energy: -3.956 eV per atom
Energy relative to the elements, uncorrected: -1.687 eV/atom

a b c (Å): 9.9313 8.8082 5.1360
angles (deg): 90.00 90.00 90.00
Space group Pnma (No. 62)
Inequivalent atoms, fractional coordinates:
As 0.1298 0.2500 0.0882
F 0.0156 0.2500 0.8238
F 0.0332 0.1080 0.2448
F 0.2268 0.1080 0.9322
F 0.2442 0.2500 0.3526


Material: SrHPd2Au
Method: DFT, PBE-GGA
State: optimized geometry

Computed properties:
Relative energy among the computed polymorphs: 0.0 meV per atom
Electronic total energy: -4.090 eV per atom

a b c (Å): 4.2054 4.2054 4.6712
angles (deg): 90.00 90.00 90.00
Space group P4/mmm (No. 123)
Inequivalent atoms, fractional coordinates:
Sr 0.0000 0.0000 0.0000
H 0.0000 0.0000 0.5000
Pd 0.0000 0.5000 0.5000
Au 0.5000 0.5000 0.0000


Material: KBi
Method: DFT, PBE-GGA
State: optimized geometry

Computed properties:
Electronic total energy: -2.737 eV per atom
Formation energy: -23.89 kJ/mol of atoms

a b c (Å): 12.3770 6.1979 6.8058
angles (deg): 90.00 90.00 90.00
Space group Pmn2_1 (No. 31)
Inequivalent atoms, fractional coordinates:
K 0.0000 0.1675 0.0000
K 0.1622 0.4991 0.4695
Bi 0.0000 0.9889 0.5027
Bi 0.2387 0.0011 0.7197


Material: AsIrCl2
Method: DFT, PBE-GGA
State: optimized geometry

Computed properties:
Relative energy among the computed polymorphs: 642.5 meV per atom
Electronic total energy: -4.129 eV per atom
Energy relative to the elements, uncorrected: 0.172 eV/atom

a b c (Å): 3.1950 4.6961 11.2233
angles (deg): 90.00 90.00 90.00
Space group Imm2 (No. 44)
Inequivalent atoms, fractional coordinates:
As 0.0000 0.0000 0.0000
Ir 0.0000 0.5000 0.3427
Cl 0.0000 0.0000 0.6501
Cl 0.0000 0.5000 0.8523